Record 1
A plane-wave DFT calculation with PBE was carried out for a relaxed Pm2Zn4Pd3 crystal.

Cell: 5.800 15.085 7.792 Å, 90.00 90.00 90.00°
Space group Cmce (No. 64)
Asymmetric unit:
Pm: 0.000 0.123 0.083 x8
Zn: 0.000 0.176 0.480 x8
Zn: 0.250 0.049 0.750 x8
Pd: 0.000 0.000 0.500 x4
Pd: 0.250 0.224 0.750 x8

Output
- excess energy over the best structure of this formula in the dataset (meV/atom) = 0


Record 2
A plane-wave DFT calculation with PBE was carried out for a relaxed PmZnPd crystal.

Cell: 6.597 6.597 6.597 Å, 90.00 90.00 90.00°
Space group F-43m (No. 216)
Asymmetric unit:
Pm: 0.000 0.000 0.000 x4
Zn: 0.000 0.000 0.500 x4
Pd: 0.250 0.250 0.250 x4

Output
- excess energy over the best structure of this formula in the dataset (meV/atom) = 195


Record 3
A plane-wave DFT calculation with PBE was carried out for a relaxed Pm2ZnPd5 crystal.

Cell: 6.214 6.214 7.980 Å, 90.00 90.00 90.00°
Space group I4mm (No. 107)
Asymmetric unit:
Pm: 0.000 0.500 0.000 x4
Zn: 0.000 0.000 0.345 x2
Pd: 0.000 0.000 0.007 x2
Pd: 0.225 0.225 0.744 x8


Record 4
A plane-wave DFT calculation with PBE was carried out for a relaxed Pm2Zn3Pd2 crystal.

Cell: 10.203 4.494 6.479 Å, 90.00 106.60 90.00°
Space group C2/m (No. 12)
Asymmetric unit:
Pm: 0.113 0.000 0.347 x4
Zn: 0.000 0.500 0.000 x2
Zn: 0.224 0.000 0.883 x4
Pd: 0.109 0.500 0.688 x4

Output
- excess energy over the best structure of this formula in the dataset (meV/atom) = 63


no.,energy relative to the elements (eV per atom)
1,-0.576
2,-0.510
3,-0.703
4,-0.556